(1)
LaZr2 | PBE-GGA | relaxed

Summary:
Offset from the most stable computed form in eV per atom: 0.134
ΔE_f in meV/atom: 229
Total moment in μB/f.u.: 0.0
Space-group type: P6_3/mmc (194)

Cell lengths 5.294, 5.294, 6.578 Å; angles 90.00, 90.00, 120.00 degrees
Sites, in units of the cell vectors:
La: 0.333 0.667 0.250
La: 0.667 0.333 0.750
Zr: 0.000 0.000 0.000
Zr: 0.000 0.000 0.500
Zr: 0.333 0.667 0.750
Zr: 0.667 0.333 0.250

=====

(2)
Li | PBE-GGA | relaxed

Summary:
Offset from the most stable computed form in eV per atom: 0.008
ΔE_f in meV/atom: 8
Total moment in μB/f.u.: 0.0
Space-group type: P-1 (2)

Cell lengths 2.980, 5.319, 6.095 Å; angles 115.94, 109.79, 90.15 degrees
Sites, in units of the cell vectors:
Li: 0.875 0.028 0.750
Li: 0.125 0.972 0.250
Li: 0.375 0.528 0.750
Li: 0.625 0.472 0.250

=====

(3)
Li | PBE-GGA | relaxed

Summary:
Offset from the most stable computed form in eV per atom: 0.407
ΔE_f in meV/atom: 407
Total moment in μB/f.u.: 0.0
Space-group type: P6/mmm (191)

Cell lengths 4.735, 4.735, 2.840 Å; angles 90.00, 90.00, 120.00 degrees
Sites, in units of the cell vectors:
Li: 0.333 0.667 0.500
Li: 0.667 0.333 0.500

=====

(4)
Li | PBE-GGA | relaxed

Summary:
Offset from the most stable computed form in eV per atom: 0.128
ΔE_f in meV/atom: 128
Total moment in μB/f.u.: 0.0
Space-group type: Pm-3m (221)

Cell lengths 2.727, 2.727, 2.727 Å; angles 90.00, 90.00, 90.00 degrees
Sites, in units of the cell vectors:
Li: 0.000 0.000 0.000